Computed, not measured: crystalline LiAcSb2Pd at its relaxed geometry at the PBE-GGA level of DFT.

a b c (Å): 4.5953 4.5953 6.6492
angles (deg): 110.22 110.22 90.00
Closest atoms and distances in Å follow each position.
Fractional coordinates of all 5 atoms:
Li (0.2500, 0.7500, 0.5000)  4 Sb 2.70
Ac (0.0000, 0.0000, 0.0000)  8 Sb 3.57, 4 Li 3.70, 4 Pd 3.70
Sb (0.6275, 0.6275, 0.2549)  2 Li 2.70, 2 Pd 2.70, 1 Sb 2.96
Sb (0.3725, 0.3725, 0.7451)  2 Li 2.70, 2 Pd 2.70, 1 Sb 2.96
Pd (0.7500, 0.2500, 0.5000)  4 Sb 2.70

ΔE_f (raw) ... -0.832 eV/atom